Dy3Tm2Cu2: optimized geometry, GGA-PBE.

Unit cell a=12.348 b=3.598 c=8.922 alpha=90.00 beta=116.29 gamma=90.00
Space group C2/m (No. 12)
One atom of each set of equivalent atoms:
Dy: 0.000 0.000 0.000 x2
Dy: 0.114 0.000 0.443 x4
Tm: 0.155 0.500 0.814 x4
Cu: 0.172 0.500 0.226 x4

formation enthalpy at 0 K	-0.122	eV per atom